1.
Here is a geometry-optimized LaCoGe structure from OQMD via LeMat-Bulk. Energies are from PBE.

Cell: 4.741 4.741 4.741 Å, 60.00 60.00 60.00°
Atoms (fractional coordinates):
Co (0.250, 0.250, 0.250)
Ge (0.750, 0.750, 0.750)
La (0.000, 0.000, 0.000)

## Properties
**Raw total energy**: -15.008 eV per cell
**Calculated density**: 5.960 g cm⁻³

2.
Here is a geometry-optimized PaSe2S structure from OQMD via LeMat-Bulk. Energies are from PBE.

Cell: 12.095 12.095 3.981 Å, 90.00 90.00 161.06°
Atoms (fractional coordinates):
Pa (0.324, 0.676, 0.750)
Se (0.915, 0.085, 0.750)
S (0.205, 0.795, 0.750)
Se (0.085, 0.915, 0.250)
Se (0.415, 0.585, 0.250)
Pa (0.676, 0.324, 0.250)
Se (0.585, 0.415, 0.750)
S (0.795, 0.205, 0.250)

## Properties
**Raw total energy**: -50.270 eV per cell
**Calculated density**: 7.395 g cm⁻³

3.
Here is a geometry-optimized La2PrB2Os2N3 structure from OQMD via LeMat-Bulk. Energies are from PBE.

Cell: 10.896 10.896 10.896 Å, 160.18 160.18 28.18°
Atoms (fractional coordinates):
N (0.882, 0.882, 0.000)
B (0.812, 0.812, 0.000)
La (0.623, 0.623, 0.000)
Pr (0.000, 0.000, 0.000)
Os (0.750, 0.250, 0.500)
La (0.377, 0.377, 0.000)
Os (0.250, 0.750, 0.500)
N (0.500, 0.500, 0.000)
N (0.118, 0.118, 0.000)
B (0.188, 0.188, 0.000)

## Properties
**Raw total energy**: -84.994 eV per cell
**Calculated density**: 9.637 g cm⁻³

4.
Here is a geometry-optimized SnWSe4 structure from OQMD via LeMat-Bulk. Energies are from PBE.

Cell: 6.841 7.235 7.770 Å, 117.71 91.62 106.93°
Atoms (fractional coordinates):
W (0.499, 0.250, 0.000)
Se (0.734, 0.008, 0.886)
Se (0.735, 0.508, 0.887)
Se (0.259, 0.517, 0.668)
Se (0.266, 0.992, 0.114)
W (0.501, 0.750, 0.000)
Se (0.741, 0.982, 0.332)
Se (0.259, 0.018, 0.668)
Sn (0.499, 0.750, 0.500)
Se (0.265, 0.492, 0.113)
Se (0.741, 0.483, 0.332)
Sn (0.501, 0.250, 0.500)

## Properties
**Raw total energy**: -65.165 eV per cell
**Calculated density**: 6.426 g cm⁻³

5.
Here is a geometry-optimized GdPtNO structure from OQMD via LeMat-Bulk. Energies are from PBE.

Cell: 4.293 4.505 6.798 Å, 90.00 90.00 90.00°
Atoms (fractional coordinates):
N (0.000, 0.394, 0.686)
Pt (0.000, 0.963, 0.601)
Gd (0.500, 0.951, 0.195)
O (0.500, 0.446, 0.130)
O (0.500, 0.946, 0.870)
N (0.000, 0.894, 0.314)
Gd (0.500, 0.451, 0.805)
Pt (0.000, 0.463, 0.399)

## Properties
**Distance to the lowest polymorph of the same formula**: 0.192 eV per atom
**Calculated density**: 9.659 g cm⁻³

6.
Here is a geometry-optimized YAgGeTe2S structure from OQMD via LeMat-Bulk. Energies are from PBE.

Cell: 7.576 7.576 10.059 Å, 90.00 90.00 147.68°
Atoms (fractional coordinates):
Te (0.656, 0.344, 0.943)
Ag (0.515, 0.485, 0.750)
S (0.919, 0.081, 0.750)
Te (0.344, 0.656, 0.057)
Y (0.000, 0.000, 0.000)
Te (0.656, 0.344, 0.557)
Ge (0.763, 0.237, 0.250)
S (0.081, 0.919, 0.250)
Ag (0.485, 0.515, 0.250)
Y (0.000, 0.000, 0.500)
Ge (0.237, 0.763, 0.750)
Te (0.344, 0.656, 0.443)

## Properties
**Raw total energy**: -55.868 eV per cell
**Calculated density**: 5.988 g cm⁻³

7.
Here is a geometry-optimized Pr2NiSn4Pd structure from OQMD via LeMat-Bulk. Energies are from PBE.

Cell: 4.505 4.530 9.683 Å, 90.00 101.67 90.00°
Atoms (fractional coordinates):
Sn (0.634, 0.000, 0.590)
Pr (0.853, 0.000, 0.278)
Pd (0.327, 0.500, 0.150)
Sn (0.239, 0.000, 0.993)
Ni (0.675, 0.000, 0.853)
Sn (0.370, 0.500, 0.424)
Sn (0.754, 0.500, 0.989)
Pr (0.148, 0.500, 0.723)

## Properties
**Raw total energy**: -41.650 eV per cell
**Calculated density**: 7.910 g cm⁻³

8.
Here is a geometry-optimized Sm2Sc2CIBr2Cl2 structure from OQMD via LeMat-Bulk. Energies are from PBE.

Cell: 8.772 8.772 8.111 Å, 104.60 104.60 24.85°
Atoms (fractional coordinates):
Br (0.837, 0.837, 0.647)
Cl (0.163, 0.163, 0.834)
Sm (0.646, 0.646, 0.078)
C (0.500, 0.500, 0.000)
Sm (0.354, 0.354, 0.922)
Sc (0.000, 0.000, 0.183)
Cl (0.837, 0.837, 0.166)
I (0.500, 0.500, 0.500)
Sc (0.000, 0.000, 0.817)
Br (0.163, 0.163, 0.353)

## Properties
**Distance to the lowest polymorph of the same formula**: 0.036 eV per atom
**Calculated density**: 4.983 g cm⁻³

9.
Here is a geometry-optimized YTlZnTe3 structure from OQMD via LeMat-Bulk. Energies are from PBE.

Cell: 8.097 8.097 11.600 Å, 90.00 90.00 148.87°
Atoms (fractional coordinates):
Te (0.928, 0.072, 0.750)
Zn (0.536, 0.464, 0.750)
Y (0.000, 0.000, 0.500)
Y (0.000, 0.000, 0.000)
Tl (0.244, 0.756, 0.750)
Te (0.634, 0.366, 0.561)
Te (0.366, 0.634, 0.061)
Te (0.634, 0.366, 0.939)
Zn (0.464, 0.536, 0.250)
Tl (0.756, 0.244, 0.250)
Te (0.072, 0.928, 0.250)
Te (0.366, 0.634, 0.439)

## Properties
**Distance to the lowest polymorph of the same formula**: 0.000 eV per atom
**Calculated density**: 6.264 g cm⁻³

10.
Here is a geometry-optimized Tm2InOs structure from OQMD via LeMat-Bulk. Energies are from PBE.

Cell: 3.416 3.416 7.706 Å, 90.00 90.00 90.00°
Atoms (fractional coordinates):
Tm (0.500, 0.500, 0.211)
Tm (0.500, 0.500, 0.789)
Os (0.000, 0.000, 0.000)
In (0.000, 0.000, 0.500)

## Properties
**Raw total energy**: -24.625 eV per cell
**Calculated density**: 11.874 g cm⁻³

11.
Here is a geometry-optimized PaMoAu structure from OQMD via LeMat-Bulk. Energies are from PBE.

Cell: 4.638 4.638 4.638 Å, 60.00 60.00 60.00°
Atoms (fractional coordinates):
Pa (0.000, 0.000, 0.000)
Au (0.250, 0.250, 0.250)
Mo (0.750, 0.750, 0.750)

## Properties
**Energy of formation**: 2.15 eV per formula unit
**Distance to the lowest polymorph of the same formula**: 0.262 eV per atom
**Calculated density**: 12.334 g cm⁻³

12.
Here is a geometry-optimized Re3Sn5Au structure from OQMD via LeMat-Bulk. Energies are from PBE.

Cell: 5.398 5.398 8.154 Å, 90.00 90.00 120.00°
Atoms (fractional coordinates):
Re (0.000, 0.500, 0.500)
Sn (0.333, 0.667, 0.804)
Sn (0.333, 0.667, 0.196)
Sn (0.000, 0.000, 0.500)
Sn (0.667, 0.333, 0.196)
Re (0.500, 0.000, 0.500)
Re (0.500, 0.500, 0.500)
Sn (0.667, 0.333, 0.804)
Au (0.000, 0.000, 0.000)

## Properties
**Raw total energy**: -57.525 eV per cell
**Calculated density**: 10.890 g cm⁻³